i | 4
Lattice="2.682 0.000 0.000 0.000 2.682 0.000 0.000 0.000 7.765" Properties=species:S:1:pos:R:3 comment="CrTc2Au, PBEsol geometry, DFT SCAN" magmom_total_mub_per_fu=0.0 crystal_system=tetragonal pbc="T T T"
Cr 0.000 0.000 0.000
Tc 1.341 1.341 1.696
Tc 1.341 1.341 6.069
Au 0.000 0.000 3.882

ii | 4
Lattice="-1.465 2.180 4.445 1.465 -2.180 4.445 1.465 2.180 -4.445" Properties=species:S:1:pos:R:3 comment="CrTc2Au, PBEsol geometry, DFT SCAN" magmom_total_mub_per_fu=0.9 crystal_system=orthorhombic pbc="T T T"
Cr 0.000 0.000 0.000
Tc 1.465 0.000 1.923
Tc 0.000 2.180 2.522
Au 0.000 0.000 4.445

Least stable of them? ii.

i | 4
Lattice="2.669 0.000 0.000 0.000 2.669 0.000 0.000 0.000 8.256" Properties=species:S:1:pos:R:3 comment="CrTcAu2, PBEsol geometry, DFT SCAN" magmom_total_mub_per_fu=3.3 crystal_system=tetragonal pbc="T T T"
Cr 0.000 0.000 0.000
Tc 0.000 0.000 4.128
Au 1.334 1.334 1.978
Au 1.334 1.334 6.278

ii | 4
Lattice="4.675 -1.426 0.000 4.675 1.426 0.000 -0.873 0.000 4.563" Properties=species:S:1:pos:R:3 comment="CrTcAu2, PBEsol geometry, DFT SCAN" magmom_total_mub_per_fu=1.9 crystal_system=monoclinic pbc="T T T"
Cr 0.000 0.000 0.000
Tc 4.238 0.000 2.282
Au 1.673 0.000 3.418
Au 6.804 0.000 1.145

Least stable of them? i.

i | 4
Lattice="4.888 0.000 0.000 0.000 2.737 3.486 0.000 -2.737 3.486" Properties=species:S:1:pos:R:3 comment="CrTe2Au, PBEsol geometry, DFT SCAN" magmom_total_mub_per_fu=3.7 crystal_system=orthorhombic pbc="T T T"
Cr 0.000 0.000 0.000
Te 0.000 0.000 2.786
Te 2.444 0.000 5.660
Au 2.444 0.000 1.450

ii | 4
Lattice="1.969 1.137 7.963 -1.969 1.137 7.963 0.000 -2.274 7.963" Properties=species:S:1:pos:R:3 comment="CrTe2Au, PBEsol geometry, DFT SCAN" magmom_total_mub_per_fu=3.0 crystal_system=trigonal pbc="T T T"
Cr 0.000 0.000 0.000
Te 0.000 0.000 9.381
Te 0.000 0.000 14.508
Au 0.000 0.000 11.944

iii | 4
Lattice="1.983 1.145 6.618 -1.983 1.145 6.618 0.000 -2.290 6.618" Properties=species:S:1:pos:R:3 comment="CrTe2Au, PBEsol geometry, DFT SCAN" magmom_total_mub_per_fu=3.2 crystal_system=trigonal pbc="T T T"
Cr 0.000 0.000 0.000
Te 0.000 0.000 5.097
Te 0.000 0.000 14.757
Au 0.000 0.000 9.927

iv | 4
Lattice="3.315 -3.465 0.000 3.315 3.465 0.000 0.000 0.000 3.644" Properties=species:S:1:pos:R:3 comment="CrTe2Au, PBEsol geometry, DFT SCAN" magmom_total_mub_per_fu=3.6 crystal_system=orthorhombic pbc="T T T"
Cr 0.000 0.000 0.000
Te 1.658 1.733 1.822
Te 1.658 -1.733 1.822
Au 3.315 0.000 0.000

Least stable of them? iv.

i | 4
Lattice="1.581 -2.169 0.000 1.581 2.169 0.000 0.000 0.000 8.748" Properties=species:S:1:pos:R:3 comment="CrW2Au, PBEsol geometry, DFT SCAN" magmom_total_mub_per_fu=0.0 crystal_system=orthorhombic pbc="T T T"
Cr 0.000 0.000 0.000
W 0.000 0.000 4.528
W 1.581 0.000 6.754
Au 1.581 0.000 2.176

ii | 4
Lattice="2.682 0.000 0.000 0.000 2.682 0.000 0.000 0.000 8.386" Properties=species:S:1:pos:R:3 comment="CrW2Au, PBEsol geometry, DFT SCAN" magmom_total_mub_per_fu=3.1 crystal_system=tetragonal pbc="T T T"
Cr 0.000 0.000 0.000
W 0.000 0.000 4.151
W 1.341 1.341 1.925
Au 1.341 1.341 6.345

Least stable of them? ii.